Record 1
The following is a DFT calculation (GGA-PBE) of a geometry-optimized Al6ZnRh2 structure.

Lattice parameters (Å, degrees): 4.7464 4.6555 8.0142 75.54 60.67 59.35
Last column: nearest neighbours and their distance in Å.
Element x y z (fractional)
Al (0.4948, 0.1741, 0.8396)  5 Al 2.61-2.80, 4 Rh 2.67-2.75, 1 Zn 2.76
Al (0.5052, 0.8259, 0.1604)  5 Al 2.61-2.80, 4 Rh 2.67-2.75, 1 Zn 2.76
Al (0.8310, 0.1743, 0.1604)  5 Al 2.61-2.80, 4 Rh 2.67-2.75, 1 Zn 2.76
Al (0.1639, 0.1721, 0.5000)  5 Al 2.63-2.80, 2 Rh 2.66, 3 Zn 2.69-2.71
Al (0.1690, 0.8257, 0.8396)  5 Al 2.61-2.80, 4 Rh 2.67-2.75, 1 Zn 2.76
Al (0.8361, 0.8279, 0.5000)  5 Al 2.63-2.80, 2 Rh 2.66, 3 Zn 2.69-2.71
Zn (0.5000, 0.5000, 0.5000)  10 Al 2.69-2.76, 2 Rh 2.94
Rh (0.8350, 0.4999, 0.8233)  10 Al 2.66-2.75, 1 Zn 2.94
Rh (0.1650, 0.5001, 0.1767)  10 Al 2.66-2.75, 1 Zn 2.94

Summary:
SG = C2/m
formation enthalpy at 0 K = -486 meV per atom


Record 2
The following is a DFT calculation (GGA-PBE) of a geometry-optimized AlZnRh2 structure.

Lattice parameters (Å, degrees): 8.6622 8.6622 8.6622 18.66 18.66 18.66
Last column: nearest neighbours and their distance in Å.
Element x y z (fractional)
Zn (0.5014, 0.5014, 0.5014)  3 Rh 2.62, 3 Al 2.79, 6 Zn 2.81
Rh (0.0038, 0.0038, 0.0038)  3 Al 2.52, 9 Rh 2.77-2.81
Rh (0.2490, 0.2490, 0.2490)  3 Zn 2.62, 9 Rh 2.77-2.81
Al (0.7458, 0.7458, 0.7458)  3 Rh 2.52, 3 Zn 2.79, 6 Al 2.81

Summary:
SG = R3m
formation enthalpy at 0 K = -223 meV per atom


Record 3
The following is a DFT calculation (GGA-PBE) of a geometry-optimized Al4ZnRh structure.

Lattice parameters (Å, degrees): 5.9353 5.9327 7.2507 114.12 114.13 90.07
Last column: nearest neighbours and their distance in Å.
Element x y z (fractional)
Al (0.0006, 0.2386, 0.0005)  2 Rh 2.53, 2 Zn 2.60-2.61, 1 Al 2.83
Al (0.4998, 0.7618, 0.0005)  2 Rh 2.53, 2 Zn 2.60-2.61, 1 Al 2.83
Al (0.2379, 0.5002, 0.4995)  2 Rh 2.53, 2 Zn 2.60-2.61, 1 Al 2.83
Al (0.7621, 0.4998, 0.5005)  2 Rh 2.53, 2 Zn 2.60-2.61, 1 Al 2.83
Al (0.2384, 0.0006, 0.5005)  2 Rh 2.53, 2 Zn 2.60-2.61, 1 Al 2.83
Al (0.5002, 0.2382, 0.9995)  2 Rh 2.53, 2 Zn 2.60-2.61, 1 Al 2.83
Al (0.7616, 0.9994, 0.4995)  2 Rh 2.53, 2 Zn 2.60-2.61, 1 Al 2.83
Al (0.9994, 0.7614, 0.9995)  2 Rh 2.53, 2 Zn 2.60-2.61, 1 Al 2.83
Zn (0.3751, 0.6251, 0.2502)  8 Al 2.60-2.61
Zn (0.6249, 0.3749, 0.7498)  8 Al 2.60-2.61
Rh (0.1251, 0.8751, 0.7501)  8 Al 2.53
Rh (0.8749, 0.1249, 0.2499)  8 Al 2.53

Summary:
energy above the lowest structure with this stoichiometry = 0 meV per atom
SG = Fddd
formation enthalpy at 0 K = -369 meV per atom


Record 4
The following is a DFT calculation (GGA-PBE) of a geometry-optimized Al4ZnRh structure.

Lattice parameters (Å, degrees): 5.1145 5.1145 5.1145 60.00 60.00 60.00
Last column: nearest neighbours and their distance in Å.
Element x y z (fractional)
Al (0.3753, 0.8742, 0.3753)  6 Al 2.55-2.56
Al (0.8742, 0.3753, 0.3753)  6 Al 2.55-2.56
Al (0.3753, 0.3753, 0.8742)  6 Al 2.55-2.56
Al (0.3753, 0.3753, 0.3753)  6 Al 2.55-2.56
Zn (0.0000, 0.0000, 0.0000)  12 Al 3.00, 4 Rh 3.13
Rh (0.7500, 0.7500, 0.7500)  12 Al 3.00, 4 Zn 3.13

Summary:
energy above the lowest structure with this stoichiometry = 391 meV per atom
SG = F-43m
formation enthalpy at 0 K = 22 meV per atom


Record 5
The following is a DFT calculation (GGA-PBE) of a geometry-optimized AlZn3Rh structure.

Lattice parameters (Å, degrees): 4.7775 4.7775 4.7775 90.00 90.00 90.00
Last column: nearest neighbours and their distance in Å.
Element x y z (fractional)
Zn (0.0000, 0.5000, 0.0000)  2 Rh 2.39
Zn (0.0000, 0.0000, 0.5000)  2 Rh 2.39
Zn (0.5000, 0.0000, 0.0000)  2 Rh 2.39
Rh (0.0000, 0.0000, 0.0000)  6 Zn 2.39
Al (0.5000, 0.5000, 0.5000)  12 Zn 3.38

Summary:
energy above the lowest structure with this stoichiometry = 0 meV per atom
SG = Pm-3m
formation enthalpy at 0 K = 291 meV per atom


Record 6
The following is a DFT calculation (GGA-PBE) of a geometry-optimized Al2Zn2Rh3 structure.

Lattice parameters (Å, degrees): 4.2186 4.2112 7.2776 89.77 107.21 120.01
Last column: nearest neighbours and their distance in Å.
Element x y z (fractional)
Al (0.7607, 0.3797, 0.1396)  7 Rh 2.53-2.62
Al (0.2393, 0.6203, 0.8604)  7 Rh 2.53-2.62
Zn (0.2605, 0.1279, 0.3880)  5 Rh 2.55-2.66, 1 Zn 2.85
Zn (0.7395, 0.8721, 0.6120)  5 Rh 2.55-2.66, 1 Zn 2.85
Rh (0.0000, 0.0000, 0.0000)  6 Al 2.61-2.62, 2 Zn 2.66
Rh (0.5054, 0.2541, 0.7606)  4 Al 2.53-2.59, 4 Zn 2.55-2.64
Rh (0.4946, 0.7459, 0.2394)  4 Al 2.53-2.59, 4 Zn 2.55-2.64

Summary:
SG = P-1
formation enthalpy at 0 K = -641 meV per atom


- The highest formation enthalpy at 0 K belongs to which entry?
  AlZn3Rh


- formation enthalpy at 0 K of number 1 (Al6ZnRh2)?
  -486 meV per atom


- The lowest formation enthalpy at 0 K belongs to which entry?
  Al2Zn2Rh3


- The highest formation enthalpy at 0 K belongs to which entry?
  AlZn3Rh